This record from Alexandria describes a relaxed Mg4In4Hg crystal. The functional is PBE.

The space group is I4/m (No. 87) and the conventional cell measures 9.8413, 9.8413 and 4.3986 Å, with angles of 90.00, 90.00 and 90.00 degrees. Symmetry generates all atoms from Mg at (0.1639, 0.1637, 0.0000), In at (0.0006, 0.3279, 0.5000) and Hg at (0.0000, 0.0000, 0.5000).

The magnetic moment is 0.000 μB per atom. The total energy comes out at -2.0305 eV per atom. The calculation puts the energy above the most stable polymorph in this dataset at 0 meV per atom. The formation energy comes out at -71 meV per atom.

---

This record from Alexandria describes a relaxed LiIn2GeCl crystal. The functional is PBE.

The space group is P4/mmm (No. 123) and the conventional cell measures 5.6002, 5.6002 and 4.1096 Å, with angles of 90.00, 90.00 and 90.00 degrees. Symmetry generates all atoms from Li at (0.0000, 0.0000, 0.0000), In at (0.0000, 0.5000, 0.0000), Ge at (0.5000, 0.5000, 0.5000) and Cl at (0.0000, 0.0000, 0.5000).

The value obtained for the formation energy without anion corrections is -13.4 meV per atom. The magnetic moment is 0.000 μB per atom. The total energy comes out at -2.7844 eV per atom.

---

This record from Alexandria describes a relaxed LaSe2Br crystal. The functional is PBE.

The space group is R-3m (No. 166, hexagonal axes) and the conventional cell measures 4.6451, 4.6451 and 24.1094 Å, with angles of 90.00, 90.00 and 120.00 degrees. Symmetry generates all atoms from La at (0.0000, 0.0000, 0.0000), Se at (0.0000, 0.0000, 0.3919) and Br at (0.0000, 0.0000, 0.5000).

The value obtained for the formation energy without anion corrections is -1185.8 meV per atom. The magnetic moment is 0.000 μB per atom. The total energy comes out at -4.5781 eV per atom. The calculation puts the energy above the most stable polymorph in this dataset at 219 meV per atom.

---

This record from Alexandria describes a relaxed ZnMoW2 crystal. The functional is PBE.

The space group is P4mm (No. 99) and the conventional cell measures 2.6806, 2.6806 and 8.7842 Å, with angles of 90.00, 90.00 and 90.00 degrees. Symmetry generates all atoms from Zn at (0.0000, 0.0000, 0.0000), Mo at (0.5000, 0.5000, 0.2384), W at (0.0000, 0.0000, 0.4997) and W at (0.5000, 0.5000, 0.7619).

The magnetic moment is 0.000 μB per atom. The total energy comes out at -9.1949 eV per atom. The formation energy comes out at 308 meV per atom.